This record from the Alexandria database describes PuMnMoO6 after structural relaxation. The functional is GGA+U.

Lattice parameters (Å, degrees): 5.4333 5.4333 9.1730 90.00 90.00 120.00
Space group P-31c (No. 163)
Unique sites:
1 Pu 0.3333 0.6667 0.2500 [2 per cell]
2 Mn 0.0000 0.0000 0.0000 [2 per cell]
3 Mo 0.3333 0.6667 0.7500 [2 per cell]
4 O 0.0209 0.3580 0.6325 [12 per cell]

Output
The magnetic moment comes out at 1.0000 μB/atom. The total energy comes out at -153.86 eV/cell. The value obtained for the density of states at the Fermi level is 14.40 states/eV per cell.